## DyMgScRu (PBE)

Data for a relaxed structure of DyMgScRu.

```
4
Lattice="3.357 0.000 0.000 0.000 3.357 0.000 0.000 0.000 7.811" Properties=species:S:1:pos:R:3 pbc="T T T"
Dy 0.000 0.000 0.000
Mg 1.678 1.678 2.477
Sc 0.000 0.000 4.640
Ru 1.678 1.678 6.081
```

As for the uncorrected energy: -23.15 eV/cell. Its density of states at the Fermi level is 2.7 states/eV/f.u. As for the total magnetic moment: 0.000 μB/f.u. As for the energy above the most stable polymorph in this dataset: 0.000 eV/atom. The formation energy from the elements is -336.9 meV per atom.